No. 1
DFT (PBE-GGA) results for crystalline Ac5ScTl6 at its relaxed geometry.

Output
E in eV per atom: -3.731
Space-group type: C2/m (12)
Energy of formation in eV per formula unit: -3.7

Structure (POSCAR):
```
Ac5ScTl6
1.0
9.082 -4.010 0.000
9.082 4.010 0.000
-1.812 0.000 5.465
Ac Sc Tl
5 1 6
direct
0.000 0.000 0.000
0.163 0.163 0.663
0.321 0.321 0.321
0.679 0.679 0.679
0.837 0.837 0.337
0.500 0.500 0.000
0.118 0.575 0.846
0.283 0.717 0.500
0.425 0.882 0.154
0.575 0.118 0.846
0.717 0.283 0.500
0.882 0.425 0.154
```

***

No. 2
DFT (PBE-GGA) results for crystalline KCo3As at its relaxed geometry.

Output
E in eV per atom: -3.059
Space-group type: Pm-3m (221)
Energy of formation in eV per formula unit: 11.8

Structure (POSCAR):
```
KCo3As
1.0
4.501 0.000 0.000
0.000 4.501 0.000
0.000 0.000 4.501
K Co As
1 3 1
direct
0.000 0.000 0.000
0.000 0.000 0.500
0.000 0.500 0.000
0.500 0.000 0.000
0.500 0.500 0.500
```

***

No. 3
DFT (PBE-GGA) results for crystalline Cu2TcPb at its relaxed geometry.

Output
E in eV per atom: -5.054
Space-group type: Imm2 (44)
Energy of formation in eV per formula unit: 2.0

Structure (POSCAR):
```
Cu2TcPb
1.0
-1.789 2.083 4.233
1.789 -2.083 4.233
1.789 2.083 -4.233
Cu Tc Pb
2 1 1
direct
0.000 0.000 0.000
0.779 0.279 0.500
0.519 0.519 0.000
0.255 0.755 0.500
```

***

No. 4
DFT (PBE-GGA) results for crystalline BaHg3Au at its relaxed geometry.

Output
E in eV per atom: -0.811
Space-group type: Pm-3m (221)
Energy of formation in eV per formula unit: 2.1

Structure (POSCAR):
```
BaHg3Au
1.0
6.658 0.000 0.000
0.000 6.658 0.000
0.000 0.000 6.658
Ba Hg Au
1 3 1
direct
0.000 0.000 0.000
0.000 0.000 0.500
0.000 0.500 0.000
0.500 0.000 0.000
0.500 0.500 0.500
```

***

No. 5
DFT (PBE-GGA) results for crystalline Cu3RuBr9 at its relaxed geometry.

Output
E in eV per atom: -3.045
Space-group type: Cc (9)

Structure (POSCAR):
```
Cu3RuBr9
1.0
8.722 -4.554 0.000
8.722 4.554 0.000
-7.867 0.000 10.015
Cu Ru Br
6 2 18
direct
0.053 0.947 0.500
0.280 0.510 0.598
0.510 0.280 0.098
0.559 0.703 0.436
0.703 0.559 0.936
0.947 0.053 0.000
0.035 0.490 0.770
0.490 0.035 0.270
0.023 0.753 0.535
0.039 0.774 0.827
0.054 0.192 0.710
0.158 0.348 0.587
0.192 0.054 0.210
0.250 0.802 0.383
0.348 0.158 0.087
0.349 0.418 0.930
0.418 0.349 0.430
0.443 0.688 0.778
0.592 0.720 0.124
0.599 0.944 0.461
0.688 0.443 0.278
0.720 0.592 0.624
0.753 0.023 0.035
0.774 0.039 0.327
0.802 0.250 0.883
0.944 0.599 0.961
```

***

No. 6
DFT (PBE-GGA) results for crystalline K2AsHO4 at its relaxed geometry.

Output
E in eV per atom: -5.022
Space-group type: Fddd (70)

Structure (POSCAR):
```
K2AsHO4
1.0
0.000 5.748 9.787
2.181 0.000 9.787
2.181 5.748 0.000
K As H O
4 2 2 8
direct
0.046 0.046 0.704
0.296 0.296 0.954
0.704 0.704 0.046
0.954 0.954 0.296
0.375 0.375 0.375
0.625 0.625 0.625
0.125 0.125 0.125
0.875 0.875 0.875
0.008 0.334 0.410
0.252 0.590 0.666
0.334 0.008 0.748
0.410 0.748 0.008
0.590 0.252 0.992
0.666 0.992 0.252
0.748 0.410 0.334
0.992 0.666 0.590
```

***

No. 7
DFT (PBE-GGA) results for crystalline GaFeSiHN at its relaxed geometry.

Output
E in eV per atom: -5.967
Space-group type: R3m (160)

Structure (POSCAR):
```
GaFeSiHN
1.0
1.441 0.832 6.927
-1.441 0.832 6.927
0.000 -1.664 6.927
Ga Fe Si H N
1 1 1 1 1
direct
0.000 0.000 0.000
0.421 0.421 0.421
0.528 0.528 0.528
0.778 0.778 0.778
0.900 0.900 0.900
```

***

No. 8
DFT (PBE-GGA) results for crystalline MnCuSb at its relaxed geometry.

Output
E in eV per atom: -5.700
Space-group type: F-43m (216)

Structure (POSCAR):
```
MnCuSb
1.0
0.000 3.047 3.047
3.047 0.000 3.047
3.047 3.047 0.000
Mn Cu Sb
1 1 1
direct
0.000 0.000 0.000
0.250 0.250 0.250
0.500 0.500 0.500
```

***

Q: Look up the E of the fifth one.
A: -3.045 eV per atom

***

Q: The highest E belongs to which entry?
A: BaHg3Au

***

Q: What is the E in the fourth record?
A: -0.811 eV per atom

***

Q: Which value of E does entry 2 give?
A: -3.059 eV per atom